NaYVF6 | PBE with a Hubbard U | optimized geometry

Lattice parameters (Å, degrees): 5.1257 5.1257 10.3077 90.00 90.00 90.00
Each line ends with the local moment (μB).
Positions (direct):
Na  0.5000  0.5000  0.4992  0.00
Na  0.0000  0.0000  0.9992  0.00
Y  0.5000  0.5000  0.8323  0.00
Y  0.0000  0.0000  0.3323  0.00
V  0.5000  0.5000  0.1670  2.76
V  0.0000  0.0000  0.6670  2.76
F  0.1847  0.8153  0.5035  0.00
F  0.8153  0.1847  0.5035  0.00
F  0.3153  0.3153  0.0035  0.00
F  0.6847  0.6847  0.0035  0.00
F  0.2067  0.7933  0.1762  0.00
F  0.7933  0.2067  0.1762  0.00
F  0.2933  0.2933  0.6762  0.00
F  0.7067  0.7067  0.6762  0.00
F  0.8034  0.1966  0.8211  0.00
F  0.1966  0.8034  0.8211  0.00
F  0.6966  0.6966  0.3211  0.00
F  0.3034  0.3034  0.3211  0.00

- uncorrected energy (eV per atom) = -6.265
- crystal system = tetragonal